(1)
VASP calculation (GGA-PBE) on an optimized crystal structure of Li7Rh6.

Calculated values
For the energy relative to the elements, the calculation gives -16 meV per atom. The uncorrected energy is -57.7 eV/cell.

Lattice parameters (Å, degrees): 9.168 9.168 9.168 29.32 29.32 29.32
Fractional coordinates of all 13 atoms:
Li  0.000  0.000  0.000
Li  0.092  0.092  0.580
Li  0.092  0.580  0.092
Li  0.420  0.908  0.908
Li  0.580  0.092  0.092
Li  0.908  0.420  0.908
Li  0.908  0.908  0.420
Rh  0.166  0.166  0.166
Rh  0.347  0.347  0.347
Rh  0.454  0.454  0.454
Rh  0.546  0.546  0.546
Rh  0.653  0.653  0.653
Rh  0.834  0.834  0.834

---

(2)
VASP calculation (GGA-PBE) on an optimized crystal structure of LiRh.

Calculated values
For the energy relative to the elements, the calculation gives -88 meV per atom. The uncorrected energy is -75.5 eV/cell.

Lattice parameters (Å, degrees): 5.986 5.986 5.986 90.00 90.00 90.00
Fractional coordinates of all 16 atoms:
Li  0.125  0.125  0.125
Li  0.125  0.625  0.625
Li  0.375  0.375  0.875
Li  0.375  0.875  0.375
Li  0.625  0.125  0.625
Li  0.625  0.625  0.125
Li  0.875  0.375  0.375
Li  0.875  0.875  0.875
Rh  0.125  0.125  0.625
Rh  0.125  0.625  0.125
Rh  0.375  0.375  0.375
Rh  0.375  0.875  0.875
Rh  0.625  0.125  0.125
Rh  0.625  0.625  0.625
Rh  0.875  0.375  0.875
Rh  0.875  0.875  0.375